DFT (PBE-GGA) results for Nd2DyEr3Tm6 after structural relaxation.

VASP energy	-54.37	eV for the cell shown
formation energy from the elements	0.024	eV per atom
spin magnetization	0.0	μB per formula unit

The structure in POSCAR format:
```
Nd2DyEr3Tm6
1.0
6.114 0.002 0.005
-3.054 5.296 0.005
-1.026 -1.776 11.481
Nd Dy Er Tm
2 1 3 6
direct
0.333 0.667 0.000
0.667 0.333 0.000
0.000 0.000 0.000
0.166 0.834 0.500
0.834 0.166 0.500
0.500 0.500 0.500
0.915 0.582 0.747
0.752 0.752 0.254
0.085 0.418 0.253
0.582 0.915 0.747
0.248 0.248 0.746
0.418 0.085 0.253
```